Record 1
A PBEsol-optimized structure of LiTlHg, computed with SCAN.

a b c (Å): 3.256 3.256 6.418
angles (deg): 104.69 104.69 90.00
Fractional coordinates of all 3 atoms:
Li: 0.346 0.346 0.692
Tl: 0.677 0.677 0.355
Hg: 0.977 0.977 0.954

Calculated values
As for the energy of formation: -0.25 eV per atom. The value obtained for the excess energy over the best structure of this formula in the dataset is 0.0000 eV per atom.

Record 2
A PBEsol-optimized structure of LiIn, computed with SCAN.

a b c (Å): 3.093 5.715 7.258
angles (deg): 103.30 90.00 105.70
Fractional coordinates of all 6 atoms:
In: 0.318 0.636 0.665
In: 0.013 0.026 0.993
In: 0.390 0.780 0.285
Li: 0.732 0.464 0.958
Li: 0.666 0.333 0.327
Li: 0.048 0.095 0.607

Calculated values
As for the energy of formation: -0.30 eV per atom.

Record 3
A PBEsol-optimized structure of Li2Tl, computed with SCAN.

a b c (Å): 8.854 8.854 8.854
angles (deg): 60.00 60.00 60.00
Fractional coordinates of all 24 atoms:
Li: 0.548 0.952 0.952
Li: 0.952 0.548 0.952
Li: 0.702 0.298 0.298
Li: 0.298 0.702 0.702
Li: 0.125 0.125 0.125
Li: 0.548 0.548 0.952
Li: 0.125 0.625 0.125
Li: 0.702 0.702 0.298
Li: 0.952 0.548 0.548
Li: 0.548 0.952 0.548
Li: 0.125 0.125 0.625
Li: 0.952 0.952 0.548
Li: 0.702 0.298 0.702
Li: 0.625 0.125 0.125
Li: 0.298 0.298 0.702
Li: 0.298 0.702 0.298
Tl: 0.342 0.342 0.973
Tl: 0.908 0.277 0.908
Tl: 0.908 0.908 0.908
Tl: 0.342 0.342 0.342
Tl: 0.342 0.973 0.342
Tl: 0.908 0.908 0.277
Tl: 0.973 0.342 0.342
Tl: 0.277 0.908 0.908

Calculated values
As for the energy of formation: -0.31 eV per atom.

Record 4
A PBEsol-optimized structure of AlTc2SeI, computed with SCAN.

a b c (Å): 4.831 4.831 5.522
angles (deg): 90.00 90.00 90.00
Fractional coordinates of all 5 atoms:
Se: 0.000 0.000 0.500
Tc: 0.500 0.000 0.000
Tc: 0.000 0.500 0.000
Al: 0.500 0.500 0.500
I: 0.000 0.000 0.000

Calculated values
The formation energy from raw total energies is 1.904 eV per atom.

Record 5
A PBEsol-optimized structure of BiAsS3, computed with SCAN.

a b c (Å): 4.696 4.696 4.696
angles (deg): 90.00 90.00 90.00
Fractional coordinates of all 5 atoms:
S: 0.000 0.500 0.000
S: 0.000 0.000 0.500
S: 0.500 0.000 0.000
Bi: 0.500 0.500 0.500
As: 0.000 0.000 0.000

Calculated values
The formation energy from raw total energies is 0.237 eV per atom.

Record 6
A PBEsol-optimized structure of CuRh2, computed with SCAN.

a b c (Å): 2.648 5.021 6.274
angles (deg): 104.29 90.00 105.29
Fractional coordinates of all 6 atoms:
Rh: 0.387 0.775 0.280
Rh: 0.727 0.455 0.947
Rh: 0.331 0.662 0.663
Rh: 0.055 0.110 0.613
Cu: 0.004 0.008 0.005
Cu: 0.662 0.323 0.325

Calculated values
As for the energy of formation: 0.08 eV per atom. The value obtained for the excess energy over the best structure of this formula in the dataset is 0.0308 eV per atom.

Record 7
A PBEsol-optimized structure of Ge19As4Br4, computed with SCAN.

a b c (Å): 10.532 10.532 10.532
angles (deg): 90.00 90.00 90.00
Fractional coordinates of all 54 atoms:
Ge: 0.000 0.250 0.500
Ge: 0.997 0.117 0.311
Ge: 0.617 0.503 0.189
Ge: 0.182 0.818 0.182
Ge: 0.811 0.383 0.503
Ge: 0.617 0.497 0.811
Ge: 0.189 0.617 0.503
Ge: 0.182 0.182 0.818
Ge: 0.003 0.117 0.689
Ge: 0.503 0.189 0.617
Ge: 0.250 0.500 0.000
Ge: 0.997 0.883 0.689
Ge: 0.383 0.497 0.189
Ge: 0.689 0.997 0.883
Ge: 0.189 0.383 0.497
Ge: 0.883 0.689 0.997
Ge: 0.497 0.189 0.383
Ge: 0.318 0.682 0.682
Ge: 0.503 0.811 0.383
Ge: 0.117 0.689 0.003
Ge: 0.318 0.318 0.318
Ge: 0.383 0.503 0.811
Ge: 0.500 0.000 0.250
Ge: 0.811 0.617 0.497
Ge: 0.682 0.318 0.682
Ge: 0.311 0.997 0.117
Ge: 0.682 0.682 0.318
Ge: 0.003 0.883 0.311
Ge: 0.500 0.000 0.750
Ge: 0.311 0.003 0.883
Ge: 0.883 0.311 0.003
Ge: 0.818 0.818 0.818
Ge: 0.750 0.500 0.000
Ge: 0.117 0.311 0.997
Ge: 0.818 0.182 0.182
Ge: 0.000 0.750 0.500
Ge: 0.689 0.003 0.117
Ge: 0.497 0.811 0.617
As: 0.316 0.684 0.316
As: 0.184 0.816 0.816
As: 0.684 0.316 0.316
As: 0.816 0.816 0.184
As: 0.684 0.684 0.684
As: 0.316 0.316 0.684
As: 0.184 0.184 0.184
As: 0.816 0.184 0.816
Br: 0.500 0.500 0.500
Br: 0.500 0.750 0.000
Br: 0.750 0.000 0.500
Br: 0.250 0.000 0.500
Br: 0.500 0.250 0.000
Br: 0.000 0.500 0.750
Br: 0.000 0.000 0.000
Br: 0.000 0.500 0.250

Calculated values
The formation energy from raw total energies is -0.181 eV per atom.

Record 8
A PBEsol-optimized structure of Mg2Nb2SnO8, computed with SCAN.

a b c (Å): 5.256 6.011 10.731
angles (deg): 106.27 91.17 90.00
Fractional coordinates of all 26 atoms:
Nb: 0.772 0.047 0.748
Nb: 0.228 0.953 0.252
Nb: 0.272 0.700 0.748
Nb: 0.728 0.300 0.252
Sn: 0.750 0.698 0.000
Sn: 0.250 0.302 0.000
O: 0.382 0.840 0.391
O: 0.968 0.837 0.838
O: 0.468 0.000 0.838
O: 0.609 0.455 0.137
O: 0.891 0.318 0.863
O: 0.118 0.449 0.609
O: 0.882 0.551 0.391
O: 0.391 0.545 0.863
O: 0.109 0.682 0.137
O: 0.532 0.000 0.162
O: 0.948 0.083 0.384
O: 0.618 0.160 0.609
O: 0.032 0.163 0.162
O: 0.552 0.699 0.616
O: 0.052 0.917 0.616
O: 0.448 0.301 0.384
Mg: 0.255 0.129 0.538
Mg: 0.745 0.871 0.462
Mg: 0.755 0.408 0.538
Mg: 0.245 0.592 0.462

Calculated values
The formation energy from raw total energies is -2.585 eV per atom.

Record 9
A PBEsol-optimized structure of HgPRu, computed with SCAN.

a b c (Å): 2.963 2.963 5.912
angles (deg): 104.51 104.51 90.00
Fractional coordinates of all 3 atoms:
P: 0.296 0.296 0.593
Ru: 0.697 0.697 0.393
Hg: 0.007 0.007 0.014

Calculated values
As for the energy of formation: 0.01 eV per atom.

Record 10
A PBEsol-optimized structure of MnP2Br, computed with SCAN.

a b c (Å): 4.476 4.476 4.476
angles (deg): 60.00 60.00 60.00
Fractional coordinates of all 4 atoms:
P: 0.000 0.000 0.000
P: 0.250 0.250 0.250
Br: 0.500 0.500 0.500
Mn: 0.750 0.750 0.750

Calculated values
The value obtained for the excess energy over the best structure of this formula in the dataset is 0.8339 eV per atom. The formation energy from raw total energies is 0.652 eV per atom.

Record 11
A PBEsol-optimized structure of Al2CuNi3, computed with SCAN.

a b c (Å): 3.451 3.519 5.883
angles (deg): 90.00 107.06 90.00
Fractional coordinates of all 6 atoms:
Cu: 0.000 0.000 0.000
Ni: 0.500 0.500 0.000
Ni: 0.666 0.000 0.332
Ni: 0.334 0.000 0.668
Al: 0.841 0.500 0.681
Al: 0.159 0.500 0.319

Calculated values
As for the energy of formation: -0.49 eV per atom. The value obtained for the excess energy over the best structure of this formula in the dataset is 0.0000 eV per atom.

Record 12
A PBEsol-optimized structure of CdAsPt5, computed with SCAN.

a b c (Å): 3.964 3.964 7.158
angles (deg): 90.00 90.00 90.00
Fractional coordinates of all 7 atoms:
Pt: 0.500 0.000 0.286
Pt: 0.000 0.500 0.286
Pt: 0.500 0.000 0.714
Pt: 0.000 0.000 0.000
Pt: 0.000 0.500 0.714
Cd: 0.500 0.500 0.000
As: 0.000 0.000 0.500

Calculated values
As for the energy of formation: -0.31 eV per atom.

Record 13
A PBEsol-optimized structure of KTcAu, computed with SCAN.

a b c (Å): 2.668 4.368 6.486
angles (deg): 109.68 101.87 90.00
Fractional coordinates of all 3 atoms:
K: 0.664 0.664 0.328
Au: 0.948 0.948 0.895
Tc: 0.388 0.388 0.777

Calculated values
As for the energy of formation: 0.57 eV per atom. The value obtained for the excess energy over the best structure of this formula in the dataset is 0.0000 eV per atom.

Record 14
A PBEsol-optimized structure of GeHS2, computed with SCAN.

a b c (Å): 2.821 2.821 7.896
angles (deg): 79.71 79.71 60.00
Fractional coordinates of all 4 atoms:
S: 0.891 0.891 0.328
S: 0.109 0.109 0.672
H: 0.500 0.500 0.500
Ge: 0.000 0.000 0.000

Calculated values
The value obtained for the excess energy over the best structure of this formula in the dataset is 0.8595 eV per atom.

Record 15
A PBEsol-optimized structure of ZnTcC2, computed with SCAN.

a b c (Å): 4.637 4.637 5.622
angles (deg): 114.35 114.35 90.00
Fractional coordinates of all 8 atoms:
Tc: 0.250 0.750 0.500
Tc: 0.000 0.000 0.000
C: 0.345 0.875 0.250
C: 0.905 0.375 0.250
C: 0.125 0.095 0.750
C: 0.625 0.655 0.750
Zn: 0.750 0.250 0.500
Zn: 0.500 0.500 0.000

Calculated values
As for the energy of formation: 0.73 eV per atom.

Record 16
A PBEsol-optimized structure of MnNiAs2N, computed with SCAN.

a b c (Å): 4.302 4.302 4.606
angles (deg): 90.00 90.00 90.00
Fractional coordinates of all 5 atoms:
N: 0.500 0.500 0.500
As: 0.000 0.500 0.000
As: 0.500 0.000 0.000
Ni: 0.000 0.000 0.000
Mn: 0.000 0.000 0.500

Calculated values
The formation energy from raw total energies is 1.128 eV per atom.

Record 17
A PBEsol-optimized structure of Cu2WSe, computed with SCAN.

a b c (Å): 2.689 2.689 8.442
angles (deg): 90.00 90.00 106.38
Fractional coordinates of all 4 atoms:
Se: 0.500 0.500 0.500
Cu: 0.000 0.000 0.241
Cu: 0.000 0.000 0.759
W: 0.500 0.500 0.000

Calculated values
The formation energy from raw total energies is 0.449 eV per atom.

Record 18
A PBEsol-optimized structure of Ca2AlPt2, computed with SCAN.

a b c (Å): 5.647 5.647 7.683
angles (deg): 79.58 79.58 60.34
Fractional coordinates of all 10 atoms:
Ca: 0.485 0.217 0.148
Ca: 0.783 0.515 0.352
Ca: 0.217 0.485 0.648
Ca: 0.515 0.783 0.852
Al: 0.114 0.886 0.250
Al: 0.886 0.114 0.750
Pt: 0.996 0.264 0.996
Pt: 0.264 0.996 0.496
Pt: 0.736 0.004 0.504
Pt: 0.004 0.736 0.004

Calculated values
As for the energy of formation: -1.20 eV per atom.

Record 19
A PBEsol-optimized structure of ZrSiTe2I, computed with SCAN.

a b c (Å): 5.531 5.531 5.534
angles (deg): 90.00 90.00 90.00
Fractional coordinates of all 5 atoms:
Te: 0.500 0.000 0.000
Te: 0.000 0.500 0.000
Zr: 0.000 0.000 0.000
Si: 0.500 0.500 0.500
I: 0.000 0.000 0.500

Calculated values
The formation energy from raw total energies is 0.306 eV per atom.

Record 20
A PBEsol-optimized structure of Ga2SiTc2, computed with SCAN.

a b c (Å): 3.617 6.368 6.368
angles (deg): 90.00 90.00 90.00
Fractional coordinates of all 10 atoms:
Ga: 0.500 0.646 0.854
Ga: 0.500 0.354 0.146
Ga: 0.500 0.854 0.354
Ga: 0.500 0.146 0.646
Si: 0.000 0.000 0.000
Si: 0.000 0.500 0.500
Tc: 0.000 0.658 0.158
Tc: 0.000 0.842 0.658
Tc: 0.000 0.342 0.842
Tc: 0.000 0.158 0.342

Calculated values
The formation energy from raw total energies is -0.207 eV per atom.

What are the volume values for these records? In order: 21.2, 20.0, 20.4, 25.8, 20.7, 13.0, 21.6, 12.5, 16.2, 15.9, 11.4, 16.1, 23.2, 13.3, 12.3, 17.0, 14.6, 20.8, 33.9, 14.7 A^3/atom.
What are the final energy values for these records? In order: -143.67, -109.13, -624.59, -125.17, -126.47, -165.02, -1052.33, -391.15, -113.35, -55.90, -82.18, -403.75, -110.83, -38.38, -131.69, -78.46, -118.37, -346.98, -150.43, -227.73 eV for the cell shown.